(1)
## KMnAs2 (GGA-PBE)

Data for crystalline KMnAs2 at its relaxed geometry.

Cell: 3.9948 3.9948 7.6159 Å, 73.06 73.06 56.35°
Fractional coordinates of all 4 atoms:
As1 0.9529 0.9529 0.1542
As2 0.7051 0.7051 0.8492
K1 0.5138 0.5138 0.4919
Mn1 0.3281 0.3281 0.0046

Energy relative to the lowest polymorph listed for this composition (kcal/mol of atoms): 0.23
Total DFT energy (no corrections) (eV/atom): -5.138
Symmetry: Cm (8)
Fermi-level density of states (states/eV/f.u.): 0.96
Energy relative to the elements (meV per atom): -247

---

(2)
## KMn2As (GGA-PBE)

Data for crystalline KMn2As at its relaxed geometry.

Cell: 5.7331 5.7331 2.8759 Å, 90.00 90.00 115.81°
Fractional coordinates of all 4 atoms:
As1 0.5000 0.0000 0.5000
K1 0.0000 0.5000 0.5000
Mn1 0.0000 0.0000 0.0000
Mn2 0.5000 0.5000 0.0000

Total DFT energy (no corrections) (eV/atom): -5.175
Symmetry: Cmmm (65)
Fermi-level density of states (states/eV/f.u.): 2.88
Energy relative to the elements (meV per atom): 847

---

(3)
## KMn3As (GGA-PBE)

Data for crystalline KMn3As at its relaxed geometry.

Cell: 4.8698 4.8698 4.8698 Å, 90.00 90.00 90.00°
Fractional coordinates of all 5 atoms:
As1 0.0000 0.0000 0.0000
Mn1 0.0000 0.5000 0.0000
Mn2 0.0000 0.0000 0.5000
Mn3 0.5000 0.0000 0.0000
K1 0.5000 0.5000 0.5000

Energy relative to the lowest polymorph listed for this composition (kcal/mol of atoms): 0.00
Total DFT energy (no corrections) (eV/atom): -5.990
Symmetry: Pm-3m (221)
Fermi-level density of states (states/eV/f.u.): 7.07
Energy relative to the elements (meV per atom): 661

---

(4)
## KMn3As (GGA-PBE)

Data for crystalline KMn3As at its relaxed geometry.

Cell: 4.8365 4.8365 4.8365 Å, 90.00 90.00 90.00°
Fractional coordinates of all 5 atoms:
As1 0.5000 0.5000 0.5000
Mn1 0.0000 0.5000 0.0000
Mn2 0.0000 0.0000 0.5000
Mn3 0.5000 0.0000 0.0000
K1 0.0000 0.0000 0.0000

Energy relative to the lowest polymorph listed for this composition (kcal/mol of atoms): 34.29
Total DFT energy (no corrections) (eV/atom): -4.503
Symmetry: Pm-3m (221)
Fermi-level density of states (states/eV/f.u.): 3.68
Energy relative to the elements (meV per atom): 2148

---

(5)
## KMnAs2 (GGA-PBE)

Data for crystalline KMnAs2 at its relaxed geometry.

Cell: 5.7026 5.7026 5.7026 Å, 136.26 136.26 63.57°
Fractional coordinates of all 4 atoms:
As1 0.0000 0.0000 0.0000
As2 0.2500 0.7500 0.5000
K1 0.5000 0.5000 0.0000
Mn1 0.7500 0.2500 0.5000

Energy relative to the lowest polymorph listed for this composition (kcal/mol of atoms): 15.16
Total DFT energy (no corrections) (eV/atom): -4.491
Symmetry: I-4m2 (119)
Fermi-level density of states (states/eV/f.u.): 1.77
Energy relative to the elements (meV per atom): 400

---

(6)
## KMnAs2 (GGA-PBE)

Data for crystalline KMnAs2 at its relaxed geometry.

Cell: 9.5081 9.5081 9.5081 Å, 20.97 20.97 20.97°
Fractional coordinates of all 4 atoms:
As1 0.0008 0.0008 0.0008
As2 0.2691 0.2691 0.2691
K1 0.5044 0.5044 0.5044
Mn1 0.7257 0.7257 0.7257

Energy relative to the lowest polymorph listed for this composition (kcal/mol of atoms): 16.02
Total DFT energy (no corrections) (eV/atom): -4.453
Symmetry: R3m (160)
Fermi-level density of states (states/eV/f.u.): 2.29
Energy relative to the elements (meV per atom): 438

---

Q: total DFT energy (no corrections) of number 4 (KMn3As)?
A: -4.503 eV/atom

---

Q: Number 5 is which compound?
A: KMnAs2

---

Q: What is the energy relative to the elements in the sixth record?
A: 438 meV per atom

---

Q: What is the energy relative to the elements in the fifth record?
A: 400 meV per atom